(1)
The following is a DFT calculation (GGA-PBE) of crystalline Pu4SiPt3 at its relaxed geometry.

Properties
The electronic total energy comes out at -10.781 eV/atom. The calculation puts the raw formation energy at -672 meV/atom.

a b c (Å): 3.972 4.184 10.844
angles (deg): 90.00 90.00 90.00
Fractional coordinates of all 8 atoms:
Pu (0.000, 0.000, 0.000)
Pu (0.000, 0.500, 0.279)
Pu (0.500, 0.000, 0.489)
Pu (0.500, 0.500, 0.775)
Si (0.500, 0.000, 0.211)
Pt (0.000, 0.000, 0.732)
Pt (0.000, 0.500, 0.545)
Pt (0.500, 0.500, 0.060)

=====

(2)
The following is a DFT calculation (GGA-PBE) of crystalline PuSi2Pt at its relaxed geometry.

Properties
The electronic total energy comes out at -8.536 eV/atom. The calculation puts the raw formation energy at -731 meV/atom.

a b c (Å): 4.094 4.094 15.011
angles (deg): 90.00 90.00 120.00
Fractional coordinates of all 12 atoms:
Pu (0.000, 0.000, 0.000)
Pu (0.333, 0.667, 0.667)
Pu (0.667, 0.333, 0.333)
Si (0.000, 0.000, 0.218)
Si (0.000, 0.000, 0.782)
Si (0.333, 0.667, 0.449)
Si (0.333, 0.667, 0.885)
Si (0.667, 0.333, 0.115)
Si (0.667, 0.333, 0.551)
Pt (0.000, 0.000, 0.500)
Pt (0.333, 0.667, 0.167)
Pt (0.667, 0.333, 0.833)

=====

Total moment: 10.38 5.28 (μB/f.u.)